! LiFeSi6O14, optimized geometry, DFT GGA+U; values from VASP
&SYSTEM
  ibrav = 0, nat = 88, ntyp = 4
/
ATOMIC_SPECIES
O 16.00 O.upf
Li 6.94 Li.upf
Si 28.09 Si.upf
Fe 55.84 Fe.upf
CELL_PARAMETERS angstrom
7.402 0.000 0.000
3.701 12.368 -0.124
3.701 2.772 12.054
ATOMIC_POSITIONS crystal
O 0.772 0.203 0.430
O 0.775 0.546 0.802
O 0.103 0.436 0.698
O 0.624 0.954 0.698
O 0.445 0.799 0.852
O 0.272 0.930 0.703
O 0.238 0.302 0.564
O 0.904 0.297 0.070
O 0.423 0.606 0.007
O 0.481 0.367 0.633
O 0.019 0.867 0.133
O 0.124 0.198 0.454
O 0.596 0.430 0.203
O 0.876 0.802 0.546
O 0.519 0.633 0.367
O 0.981 0.133 0.867
O 0.783 0.274 0.726
O 0.660 0.992 0.138
O 0.603 0.198 0.936
O 0.762 0.698 0.436
O 0.404 0.570 0.797
O 0.217 0.726 0.274
O 0.923 0.507 0.106
O 0.710 0.492 0.638
O 0.376 0.046 0.302
O 0.725 0.698 0.954
O 0.964 0.007 0.606
O 0.790 0.862 0.008
O 0.717 0.774 0.226
O 0.840 0.362 0.508
O 0.945 0.352 0.299
O 0.596 0.701 0.648
O 0.283 0.226 0.774
O 0.555 0.201 0.148
O 0.904 0.852 0.799
O 0.536 0.894 0.493
O 0.262 0.936 0.198
O 0.464 0.106 0.507
O 0.340 0.008 0.862
O 0.055 0.648 0.701
O 0.738 0.064 0.802
O 0.228 0.797 0.570
O 0.096 0.148 0.201
O 0.160 0.638 0.492
O 0.036 0.993 0.394
O 0.210 0.138 0.992
O 0.397 0.802 0.064
O 0.577 0.394 0.993
O 0.897 0.564 0.302
O 0.404 0.299 0.352
O 0.275 0.302 0.046
O 0.728 0.070 0.297
O 0.290 0.508 0.362
O 0.096 0.703 0.930
O 0.225 0.454 0.198
O 0.077 0.493 0.894
Li 0.000 0.500 0.500
Li 0.750 0.250 0.250
Li 0.500 0.000 0.000
Li 0.250 0.750 0.750
Si 0.802 0.870 0.130
Si 0.988 0.471 0.222
Si 0.698 0.370 0.630
Si 0.224 0.831 0.169
Si 0.276 0.331 0.669
Si 0.198 0.130 0.870
Si 0.681 0.778 0.529
Si 0.724 0.669 0.331
Si 0.080 0.726 0.576
Si 0.819 0.971 0.722
Si 0.488 0.722 0.971
Si 0.302 0.630 0.370
Si 0.181 0.029 0.278
Si 0.580 0.076 0.226
Si 0.118 0.226 0.076
Si 0.319 0.222 0.471
Si 0.382 0.424 0.274
Si 0.012 0.529 0.778
Si 0.920 0.274 0.424
Si 0.776 0.169 0.831
Si 0.882 0.774 0.924
Si 0.420 0.924 0.774
Si 0.512 0.278 0.029
Si 0.618 0.576 0.726
Fe 0.250 0.554 0.946
Fe 0.750 0.446 0.054
Fe 0.250 0.946 0.554
Fe 0.750 0.054 0.446
! - uncorrected energy (Ry/atom) = -0.5516
! - M_tot (μB/atom) = 0.23
! - space group = Ibam, No. 72